VASP calculation (PBE) on crystalline TbMg2In2Ag2 at its relaxed geometry.

abc: 8.6050 8.6050 8.6050
angles: 31.78 31.78 31.78
Last column: nearest neighbours and their distance in Å.
Fractional positions:
1 Tb 0.0000 0.0000 0.0000  6 In 3.19, 2 Mg 3.36
2 Mg 0.1373 0.1373 0.1373  3 Ag 2.85, 3 Mg 3.08, 1 In 3.13
3 Mg 0.8627 0.8627 0.8627  3 Ag 2.85, 3 Mg 3.08, 1 In 3.13
4 In 0.2652 0.2652 0.2652  3 Ag 2.85, 1 Mg 3.13, 3 Tb 3.19
5 In 0.7348 0.7348 0.7348  3 Ag 2.85, 1 Mg 3.13, 3 Tb 3.19
6 Ag 0.4367 0.4367 0.4367  3 Mg 2.85, 3 In 2.85, 1 Ag 3.10
7 Ag 0.5633 0.5633 0.5633  3 Mg 2.85, 3 In 2.85, 1 Ag 3.10

energy of formation = -1.59 eV per formula unit
SG = R-3m
crystal system = trigonal
uncorrected energy = -2.941 eV/atom


VASP calculation (PBE) on crystalline ThMgInAg at its relaxed geometry.

abc: 5.1845 5.1845 5.1845
angles: 60.00 60.00 60.00
Last column: nearest neighbours and their distance in Å.
Fractional positions:
1 Th 0.0000 0.0000 0.0000  4 In 3.17, 4 Ag 3.17
2 Mg 0.5000 0.5000 0.5000  4 Ag 3.17, 4 In 3.17
3 In 0.2500 0.2500 0.2500  4 Mg 3.17, 4 Th 3.17
4 Ag 0.7500 0.7500 0.7500  4 Th 3.17, 4 Mg 3.17

energy of formation = -0.74 eV per formula unit
SG = F-43m
crystal system = cubic
uncorrected energy = -3.835 eV/atom


VASP calculation (PBE) on crystalline MgTiInAg at its relaxed geometry.

abc: 4.7710 4.7710 4.7710
angles: 60.00 60.00 60.00
Last column: nearest neighbours and their distance in Å.
Fractional positions:
1 Mg 0.0000 0.0000 0.0000  4 In 2.92, 4 Ag 2.92
2 Ti 0.5000 0.5000 0.5000  4 In 2.92, 4 Ag 2.92
3 In 0.7500 0.7500 0.7500  4 Mg 2.92, 4 Ti 2.92
4 Ag 0.2500 0.2500 0.2500  4 Mg 2.92, 4 Ti 2.92

energy of formation = -0.11 eV per formula unit
SG = F-43m
crystal system = cubic
uncorrected energy = -3.798 eV/atom


VASP calculation (PBE) on crystalline MgTlInAg at its relaxed geometry.

abc: 5.0960 5.0960 5.0960
angles: 60.00 60.00 60.00
Last column: nearest neighbours and their distance in Å.
Fractional positions:
1 Mg 0.0000 0.0000 0.0000  4 In 3.12, 4 Tl 3.12
2 Tl 0.2500 0.2500 0.2500  4 Mg 3.12, 4 Ag 3.12
3 In 0.7500 0.7500 0.7500  4 Mg 3.12, 4 Ag 3.12
4 Ag 0.5000 0.5000 0.5000  4 Tl 3.12, 4 In 3.12

energy of formation = 0.11 eV per formula unit
SG = F-43m
crystal system = cubic
uncorrected energy = -2.361 eV/atom


VASP calculation (PBE) on crystalline TmMg2In2Ag2 at its relaxed geometry.

abc: 8.4887 8.4887 8.4887
angles: 32.22 32.22 32.22
Last column: nearest neighbours and their distance in Å.
Fractional positions:
1 Tm 0.0000 0.0000 0.0000  6 In 3.15, 2 Mg 3.31
2 Mg 0.1371 0.1371 0.1371  3 Ag 2.85, 3 Mg 3.07, 1 In 3.14
3 Mg 0.8629 0.8629 0.8629  3 Ag 2.85, 3 Mg 3.07, 1 In 3.14
4 In 0.2671 0.2671 0.2671  3 Ag 2.86, 1 Mg 3.14, 3 Tm 3.15
5 In 0.7329 0.7329 0.7329  3 Ag 2.86, 1 Mg 3.14, 3 Tm 3.15
6 Ag 0.4356 0.4356 0.4356  3 Mg 2.85, 3 In 2.86, 1 Ag 3.11
7 Ag 0.5644 0.5644 0.5644  3 Mg 2.85, 3 In 2.86, 1 Ag 3.11

energy of formation = -1.35 eV per formula unit
SG = R-3m
crystal system = trigonal
uncorrected energy = -2.885 eV/atom


VASP calculation (PBE) on crystalline TmMgInAg at its relaxed geometry.

abc: 5.0100 5.0100 5.0100
angles: 60.00 60.00 60.00
Last column: nearest neighbours and their distance in Å.
Fractional positions:
1 Tm 0.0000 0.0000 0.0000  4 In 3.07, 4 Ag 3.07
2 Mg 0.5000 0.5000 0.5000  4 In 3.07, 4 Ag 3.07
3 In 0.7500 0.7500 0.7500  4 Mg 3.07, 4 Tm 3.07
4 Ag 0.2500 0.2500 0.2500  4 Mg 3.07, 4 Tm 3.07

energy of formation = -1.31 eV per formula unit
SG = F-43m
crystal system = cubic
uncorrected energy = -3.242 eV/atom


VASP calculation (PBE) on crystalline MgIn2AgW at its relaxed geometry.

abc: 5.2164 5.2164 4.8375
angles: 90.00 90.00 90.00
Last column: nearest neighbours and their distance in Å.
Fractional positions:
1 Mg 0.0000 0.0000 0.0000  2 Ag 2.42, 4 In 2.61
2 In 0.0000 0.5000 0.0000  2 Mg 2.61
3 In 0.5000 0.0000 0.0000  2 Mg 2.61
4 Ag 0.0000 0.0000 0.5000  2 Mg 2.42
5 W 0.5000 0.5000 0.5000  8 In 3.56, 4 Ag 3.69

energy of formation = 7.55 eV per formula unit
SG = P4/mmm
crystal system = tetragonal
uncorrected energy = -3.065 eV/atom


VASP calculation (PBE) on crystalline YMgInAg at its relaxed geometry.

abc: 5.0519 5.0519 5.0519
angles: 60.00 60.00 60.00
Last column: nearest neighbours and their distance in Å.
Fractional positions:
1 Y 0.0000 0.0000 0.0000  4 In 3.09, 4 Ag 3.09
2 Mg 0.5000 0.5000 0.5000  4 In 3.09, 4 Ag 3.09
3 In 0.2500 0.2500 0.2500  4 Mg 3.09, 4 Y 3.09
4 Ag 0.7500 0.7500 0.7500  4 Mg 3.09, 4 Y 3.09

energy of formation = -1.43 eV per formula unit
SG = F-43m
crystal system = cubic
uncorrected energy = -3.771 eV/atom


VASP calculation (PBE) on crystalline MgZnIn2Ag at its relaxed geometry.

abc: 5.4938 5.4938 5.0810
angles: 90.00 90.00 90.00
Last column: nearest neighbours and their distance in Å.
Fractional positions:
1 Mg 0.0000 0.0000 0.0000  2 Ag 2.54, 4 In 2.75
2 Zn 0.5000 0.5000 0.5000  8 In 3.74, 4 Ag 3.88
3 In 0.0000 0.5000 0.0000  2 Mg 2.75
4 In 0.5000 0.0000 0.0000  2 Mg 2.75
5 Ag 0.0000 0.0000 0.5000  2 Mg 2.54

energy of formation = 2.65 eV per formula unit
SG = P4/mmm
crystal system = tetragonal
uncorrected energy = -1.710 eV/atom


VASP calculation (PBE) on crystalline MgZrInAg at its relaxed geometry.

abc: 4.9010 4.9010 4.9010
angles: 60.00 60.00 60.00
Last column: nearest neighbours and their distance in Å.
Fractional positions:
1 Mg 0.0000 0.0000 0.0000  4 In 3.00, 4 Ag 3.00
2 Zr 0.5000 0.5000 0.5000  4 In 3.00, 4 Ag 3.00
3 In 0.7500 0.7500 0.7500  4 Zr 3.00, 4 Mg 3.00
4 Ag 0.2500 0.2500 0.2500  4 Zr 3.00, 4 Mg 3.00

energy of formation = -0.51 eV per formula unit
offset from the most stable computed form = 57 meV/atom
SG = F-43m
crystal system = cubic
uncorrected energy = -4.062 eV/atom


VASP calculation (PBE) on crystalline MgZrInAg at its relaxed geometry.

abc: 4.1597 4.3022 4.6715
angles: 90.00 90.00 90.00
Last column: nearest neighbours and their distance in Å.
Fractional positions:
1 Mg 0.0000 0.0000 0.0000  4 Ag 2.99, 4 In 3.13, 4 Zr 3.18
2 Zr 0.0000 0.5000 0.5000  4 In 2.99, 4 Ag 3.13, 4 Mg 3.18
3 In 0.5000 0.0000 0.5000  4 Zr 2.99, 4 Mg 3.13, 4 Ag 3.18
4 Ag 0.5000 0.5000 0.0000  4 Mg 2.99, 4 Zr 3.13, 4 In 3.18

energy of formation = -0.74 eV per formula unit
offset from the most stable computed form = 0 meV/atom
SG = Pmmm
crystal system = orthorhombic
uncorrected energy = -4.119 eV/atom


VASP calculation (PBE) on crystalline Mn2InAg at its relaxed geometry.

abc: 3.0220 3.0220 7.5377
angles: 90.00 90.00 90.00
Last column: nearest neighbours and their distance in Å.
Fractional positions:
1 Mn 0.0000 0.0000 0.2410  4 Ag 2.80, 4 In 2.89, 4 Mn 3.02
2 Mn 0.0000 0.0000 0.7590  4 Ag 2.80, 4 In 2.89, 4 Mn 3.02
3 In 0.5000 0.5000 0.5000  8 Mn 2.89, 4 In 3.02
4 Ag 0.5000 0.5000 0.0000  8 Mn 2.80, 4 Ag 3.02

energy of formation = 1.17 eV per formula unit
SG = P4/mmm
crystal system = tetragonal
uncorrected energy = -5.690 eV/atom


VASP calculation (PBE) on crystalline MnIn3Ag at its relaxed geometry.

abc: 5.0700 5.0700 5.0700
angles: 90.00 90.00 90.00
Last column: nearest neighbours and their distance in Å.
Fractional positions:
1 Mn 0.0000 0.0000 0.0000  6 In 2.53
2 In 0.0000 0.0000 0.5000  2 Mn 2.53
3 In 0.0000 0.5000 0.0000  2 Mn 2.53
4 In 0.5000 0.0000 0.0000  2 Mn 2.53
5 Ag 0.5000 0.5000 0.5000  12 In 3.59

energy of formation = 2.05 eV per formula unit
offset from the most stable computed form = 0 meV/atom
SG = Pm-3m
crystal system = cubic
uncorrected energy = -3.637 eV/atom


VASP calculation (PBE) on crystalline Mn2InAg at its relaxed geometry.

abc: 4.6189 4.6189 4.6189
angles: 60.00 60.00 60.00
Last column: nearest neighbours and their distance in Å.
Fractional positions:
1 Mn 0.0000 0.0000 0.0000  4 In 2.83, 4 Mn 2.83
2 Mn 0.2500 0.2500 0.2500  4 Mn 2.83, 4 Ag 2.83
3 In 0.7500 0.7500 0.7500  4 Mn 2.83, 4 Ag 2.83
4 Ag 0.5000 0.5000 0.5000  4 In 2.83, 4 Mn 2.83

energy of formation = 1.37 eV per formula unit
SG = F-43m
crystal system = cubic
uncorrected energy = -5.639 eV/atom


VASP calculation (PBE) on crystalline Mn2InAg at its relaxed geometry.

abc: 5.0772 5.0772 4.8333
angles: 104.10 104.10 35.10
Last column: nearest neighbours and their distance in Å.
Fractional positions:
1 Mn 0.0000 0.0000 0.0000  5 Mn 2.76-3.06, 4 In 2.83-2.90, 3 Ag 2.85-2.95
2 Mn 0.7377 0.7377 0.2358  5 Mn 2.76-3.06, 4 Ag 2.81-2.92, 3 In 2.89-2.93
3 In 0.4921 0.4921 0.4872  7 Mn 2.83-2.93, 3 Ag 2.94-2.96, 2 In 3.06
4 Ag 0.2501 0.2501 0.7564  7 Mn 2.81-2.95, 3 In 2.94-2.96, 2 Ag 3.06

energy of formation = 1.15 eV per formula unit
SG = Cm
crystal system = monoclinic
uncorrected energy = -5.695 eV/atom